DFT (PBE-GGA) results for an optimized crystal structure of CaSc2Cr2.

The structure belongs to space group P4/mbm (No. 127); the cell edges are 7.9463, 7.9463 and 3.2991 Å and the angles 90.00°, 90.00° and 90.00°. Symmetry generates all atoms from Ca at (0.0000, 0.0000, 0.0000), Sc at (0.1926, 0.3074, 0.5000) and Cr at (0.0857, 0.5857, 0.0000).

The total energy is -6.3715 eV per atom. As for the formation enthalpy at 0 K: 0.4107 eV per atom. The value obtained for the magnetic moment is 2.64 μB/cell. The value obtained for the theoretical density is 3.7 g/cm3.